Record 1
meta-GGA SCAN ZrPbS2, PBEsol geometry; uncorrected energy = -130.949 eV/cell; formation energy without anion corrections = -1303.3 meV per atom; SG = R-3m (166)
1.0
-1.509 0.029 -3.183
-0.177 -2.966 -1.892
-8.374 -2.864 1.995
Zr S Pb
1 2 1
direct
0.500 0.500 0.500
0.109 0.109 0.674
0.891 0.891 0.326
0.000 0.000 0.000

Record 2
meta-GGA SCAN ZrPbS3, PBEsol geometry; uncorrected energy = -140.548 eV/cell; distance to the lowest polymorph of the same formula = 0.264 eV/atom; formation energy without anion corrections = -1036.7 meV per atom; SG = Pm-3m (221)
1.0
4.931 0.000 0.000
0.000 4.931 0.000
0.000 0.000 4.931
Zr S Pb
1 3 1
direct
0.000 0.000 0.000
0.000 0.000 0.500
0.500 0.000 0.000
0.000 0.500 0.000
0.500 0.500 0.500

Record 3
meta-GGA SCAN ZrPbS2, PBEsol geometry; uncorrected energy = -127.250 eV/cell; formation energy without anion corrections = -378.5 meV per atom; SG = R-3m (166)
1.0
3.853 0.000 0.000
1.927 3.337 0.000
1.927 1.112 8.287
Pb S Zr
1 2 1
direct
0.500 0.500 0.500
0.904 0.904 0.289
0.096 0.096 0.711
0.000 0.000 0.000

Record 4
meta-GGA SCAN SbPb5, PBEsol geometry; uncorrected energy = -415.857 eV/cell; formation energy without anion corrections = 51.6 meV per atom; SG = Cmmm (65)
1.0
-1.258 -1.889 4.254
4.547 -1.873 0.513
2.790 7.118 1.253
Pb Sb
5 1
direct
0.000 0.500 0.000
0.667 0.500 0.333
0.333 0.500 0.667
0.836 0.000 0.671
0.164 0.000 0.329
0.500 0.000 0.000

Record 5
meta-GGA SCAN Sb4Pb5, PBEsol geometry; uncorrected energy = -1053.806 eV/cell; formation energy without anion corrections = 116.2 meV per atom; SG = P6_3/mcm (193)
1.0
6.574 0.000 0.000
0.000 9.526 0.000
0.000 -4.763 8.250
Sb Pb
8 10
direct
0.500 0.000 0.000
0.250 0.367 0.367
0.750 0.000 0.367
0.750 0.367 0.000
0.250 0.633 0.000
0.750 0.633 0.633
0.000 0.000 0.000
0.250 0.000 0.633
0.250 0.299 0.000
0.500 0.667 0.333
0.750 0.299 0.299
0.750 0.000 0.701
0.500 0.333 0.667
0.250 0.701 0.701
0.000 0.333 0.667
0.250 0.000 0.299
0.750 0.701 0.000
0.000 0.667 0.333

Record 6
meta-GGA SCAN Sb3Pb, PBEsol geometry; uncorrected energy = -186.535 eV/cell; distance to the lowest polymorph of the same formula = 0.000 eV/atom; formation energy without anion corrections = 257.2 meV per atom; SG = Pm-3m (221)
1.0
4.786 0.000 0.000
0.000 4.786 0.000
0.000 0.000 4.786
Sb Pb
3 1
direct
0.000 0.500 0.500
0.500 0.500 0.000
0.500 0.000 0.500
0.000 0.000 0.000

Record 7
meta-GGA SCAN Sb12Pb17, PBEsol geometry; uncorrected energy = -1731.761 eV/cell; formation energy without anion corrections = 125.7 meV per atom; SG = I-43m (217)
1.0
10.319 0.000 0.000
-3.440 9.729 0.000
-3.440 -4.864 8.425
Pb Sb
17 12
direct
0.700 0.428 0.000
0.572 0.273 0.572
0.000 0.695 0.000
0.428 0.700 0.000
0.700 0.000 0.428
0.305 0.305 0.305
0.300 0.727 0.300
0.300 0.300 0.727
0.273 0.572 0.572
0.572 0.572 0.273
0.000 0.428 0.700
0.000 0.700 0.428
0.000 0.000 0.695
0.428 0.000 0.700
0.695 0.000 0.000
0.000 0.000 0.000
0.727 0.300 0.300
0.000 0.389 0.193
0.193 0.000 0.389
0.804 0.611 0.611
0.389 0.000 0.193
0.807 0.807 0.196
0.000 0.193 0.389
0.807 0.196 0.807
0.611 0.804 0.611
0.611 0.611 0.804
0.193 0.389 0.000
0.389 0.193 0.000
0.196 0.807 0.807

Record 8
meta-GGA SCAN SbPb2, PBEsol geometry; uncorrected energy = -188.666 eV/cell; distance to the lowest polymorph of the same formula = 0.012 eV/atom; formation energy without anion corrections = 52.2 meV per atom; SG = P-3m1 (164)
1.0
-1.267 2.848 0.909
-4.484 -2.631 1.993
4.394 0.902 3.299
Pb Sb
2 1
direct
0.205 0.667 0.333
0.795 0.333 0.667
0.000 0.000 0.000

Record 9
meta-GGA SCAN SbPb2, PBEsol geometry; uncorrected energy = -754.804 eV/cell; distance to the lowest polymorph of the same formula = 0.001 eV/atom; formation energy without anion corrections = 40.7 meV per atom; SG = Pnma (62)
1.0
5.405 0.000 0.000
0.000 6.622 0.000
0.000 0.000 9.799
Sb Pb
4 8
direct
0.250 0.213 0.899
0.750 0.787 0.101
0.250 0.713 0.601
0.750 0.287 0.399
0.750 0.445 0.715
0.250 0.691 0.929
0.250 0.555 0.285
0.750 0.809 0.429
0.250 0.055 0.215
0.750 0.309 0.071
0.750 0.945 0.785
0.250 0.191 0.571

Record 10
meta-GGA SCAN SbPb2, PBEsol geometry; uncorrected energy = -377.308 eV/cell; distance to the lowest polymorph of the same formula = 0.016 eV/atom; formation energy without anion corrections = 56.3 meV per atom; SG = P6_3/mmc (194)
1.0
5.528 0.000 0.000
-2.764 4.787 0.000
0.000 0.000 6.560
Sb Pb
2 4
direct
0.667 0.333 0.250
0.333 0.667 0.750
0.667 0.333 0.750
0.000 0.000 0.500
0.333 0.667 0.250
0.000 0.000 0.000

Record 11
meta-GGA SCAN SbPb2, PBEsol geometry; uncorrected energy = -377.219 eV/cell; distance to the lowest polymorph of the same formula = 0.031 eV/atom; formation energy without anion corrections = 71.2 meV per atom; SG = C2/c (15)
1.0
3.917 0.002 0.001
0.002 3.917 0.001
-1.958 -1.958 12.179
Pb Sb
4 2
direct
0.817 0.318 0.636
0.568 0.567 0.136
0.433 0.432 0.864
0.682 0.183 0.364
0.250 0.750 0.500
0.000 0.000 0.000

Record 12
meta-GGA SCAN SbPb, PBEsol geometry; uncorrected energy = -225.826 eV/cell; formation energy without anion corrections = 64.4 meV per atom; SG = P6_3/mmc (194)
1.0
-1.246 -1.265 3.901
-0.447 -2.634 -3.351
7.057 -2.877 1.320
Pb Sb
2 2
direct
0.000 0.000 0.000
0.000 0.000 0.500
0.667 0.333 0.750
0.333 0.667 0.250

Record 13
meta-GGA SCAN SbPb2, PBEsol geometry; uncorrected energy = -565.861 eV/cell; distance to the lowest polymorph of the same formula = 0.028 eV/atom; formation energy without anion corrections = 67.6 meV per atom; SG = P-62m (189)
1.0
-2.124 2.853 -2.275
-2.791 -6.249 -5.231
-4.581 2.148 6.971
Sb Pb
3 6
direct
0.000 0.333 0.667
0.500 0.000 0.000
0.000 0.667 0.333
0.000 0.272 0.000
0.000 0.728 0.728
0.500 0.000 0.594
0.500 0.594 0.000
0.000 0.000 0.272
0.500 0.406 0.406

Record 14
meta-GGA SCAN SbPb, PBEsol geometry; uncorrected energy = -225.672 eV/cell; formation energy without anion corrections = 102.8 meV per atom; SG = C2/m (12)
1.0
3.321 0.000 0.000
0.000 6.041 0.097
-1.660 -2.891 5.652
Pb Sb
2 2
direct
0.136 0.525 0.272
0.864 0.475 0.728
0.385 0.013 0.770
0.615 0.987 0.230

Record 15
meta-GGA SCAN SbPb2, PBEsol geometry; uncorrected energy = -188.640 eV/cell; distance to the lowest polymorph of the same formula = 0.021 eV/atom; formation energy without anion corrections = 60.9 meV per atom; SG = I4/mmm (139)
1.0
3.916 0.000 0.000
0.000 3.916 0.000
-1.958 -1.958 5.629
Pb Sb
2 1
direct
0.346 0.346 0.692
0.654 0.654 0.308
0.000 0.000 0.000

Record 16
meta-GGA SCAN SbPb2, PBEsol geometry; uncorrected energy = -754.815 eV/cell; distance to the lowest polymorph of the same formula = 0.000 eV/atom; formation energy without anion corrections = 39.8 meV per atom; SG = Pa-3 (205)
1.0
7.401 0.000 0.000
0.000 7.401 0.000
0.000 0.000 7.401
Pb Sb
8 4
direct
0.624 0.876 0.124
0.124 0.876 0.376
0.876 0.376 0.124
0.124 0.624 0.876
0.376 0.376 0.376
0.876 0.124 0.624
0.624 0.624 0.624
0.376 0.124 0.876
0.000 0.000 0.000
0.500 0.500 0.000
0.000 0.500 0.500
0.500 0.000 0.500

Record 17
meta-GGA SCAN Sb3Pb2, PBEsol geometry; uncorrected energy = -263.018 eV/cell; formation energy without anion corrections = 65.2 meV per atom; SG = P-3m1 (164)
1.0
4.242 0.000 0.000
-2.121 3.674 0.000
0.000 0.000 9.978
Sb Pb
3 2
direct
0.667 0.333 0.586
0.333 0.667 0.414
0.000 0.000 0.000
0.667 0.333 0.187
0.333 0.667 0.813

Record 18
meta-GGA SCAN Sb3Pb, PBEsol geometry; uncorrected energy = -372.479 eV/cell; distance to the lowest polymorph of the same formula = 0.074 eV/atom; formation energy without anion corrections = 330.9 meV per atom; SG = Pm-3n (223)
1.0
-0.243 -6.051 0.087
5.624 -0.258 -2.233
2.234 -0.009 5.629
Pb Sb
2 6
direct
0.000 0.000 0.000
0.500 0.500 0.500
0.000 0.250 0.500
0.750 0.500 0.000
0.500 0.000 0.250
0.500 0.000 0.750
0.000 0.750 0.500
0.250 0.500 0.000

Record 19
meta-GGA SCAN SbPb2, PBEsol geometry; uncorrected energy = -377.125 eV/cell; distance to the lowest polymorph of the same formula = 0.047 eV/atom; formation energy without anion corrections = 86.9 meV per atom; SG = I4/mcm (140)
1.0
-6.198 -0.381 0.416
2.500 -0.083 -5.698
2.189 -5.071 2.868
Sb Pb
2 4
direct
0.750 0.750 0.000
0.250 0.250 0.000
0.847 0.653 0.500
0.653 0.153 0.805
0.153 0.347 0.500
0.347 0.847 0.195

Record 20
meta-GGA SCAN SbPb, PBEsol geometry; uncorrected energy = -451.749 eV/cell; formation energy without anion corrections = 52.3 meV per atom; SG = Pnma (62)
1.0
4.503 0.000 0.000
0.000 6.087 0.000
0.000 0.000 8.742
Sb Pb
4 4
direct
0.750 0.301 0.067
0.750 0.199 0.567
0.250 0.801 0.433
0.250 0.699 0.933
0.250 0.196 0.821
0.750 0.696 0.679
0.250 0.304 0.321
0.750 0.804 0.179